# 1
# Ca3SbTe4

Ca3SbTe4 after structural relaxation (GGA-PBE, Alexandria).

The electronic total energy comes out at -31.46 eV for the cell shown. Its polymorph energy (0 for the lowest one) is 0.000 eV/atom. As for the volume: 33.54 Å³/atom. Its formation energy (no corrections) is -1096 meV per atom.

CIF file:
```
data_Ca3SbTe4
_cell_length_a 4.599
_cell_length_b 4.599
_cell_length_c 14.649
_cell_angle_alpha 90.00
_cell_angle_beta 90.00
_cell_angle_gamma 120.00
_space_group_name_H-M_alt 'P 1'
_space_group_IT_number 1
_space_group_name_Hall 'P 1'
loop_
_atom_site_label
_atom_site_type_symbol
_atom_site_fract_x
_atom_site_fract_y
_atom_site_fract_z
_atom_site_occupancy
Ca1 Ca 0.000 0.000 0.000 1
Ca2 Ca 0.000 0.000 0.257 1
Ca3 Ca 0.000 0.000 0.743 1
Sb1 Sb 0.000 0.000 0.500 1
Te1 Te 0.333 0.667 0.385 1
Te2 Te 0.333 0.667 0.871 1
Te3 Te 0.667 0.333 0.129 1
Te4 Te 0.667 0.333 0.615 1
```

# 2
# CaSbTe

CaSbTe after structural relaxation (GGA-PBE, Alexandria).

The electronic total energy comes out at -10.67 eV for the cell shown. As for the volume: 33.88 Å³/atom. Its formation energy (no corrections) is -467 meV per atom.

CIF file:
```
data_CaSbTe
_cell_length_a 5.238
_cell_length_b 5.238
_cell_length_c 5.238
_cell_angle_alpha 60.00
_cell_angle_beta 60.00
_cell_angle_gamma 60.00
_space_group_name_H-M_alt 'P 1'
_space_group_IT_number 1
_space_group_name_Hall 'P 1'
loop_
_atom_site_label
_atom_site_type_symbol
_atom_site_fract_x
_atom_site_fract_y
_atom_site_fract_z
_atom_site_occupancy
Ca1 Ca 0.000 0.000 0.000 1
Sb1 Sb 0.750 0.750 0.750 1
Te1 Te 0.250 0.250 0.250 1
```

# 3
# Ca4SbTe3

Ca4SbTe3 after structural relaxation (GGA-PBE, Alexandria).

The electronic total energy comes out at -32.54 eV for the cell shown. As for the volume: 32.69 Å³/atom. Its formation energy (no corrections) is -1373 meV per atom.

CIF file:
```
data_Ca4SbTe3
_cell_length_a 6.395
_cell_length_b 6.395
_cell_length_c 6.395
_cell_angle_alpha 90.00
_cell_angle_beta 90.00
_cell_angle_gamma 90.00
_space_group_name_H-M_alt 'P 1'
_space_group_IT_number 1
_space_group_name_Hall 'P 1'
loop_
_atom_site_label
_atom_site_type_symbol
_atom_site_fract_x
_atom_site_fract_y
_atom_site_fract_z
_atom_site_occupancy
Ca1 Ca 0.000 0.000 0.000 1
Ca2 Ca 0.000 0.500 0.500 1
Ca3 Ca 0.500 0.000 0.500 1
Ca4 Ca 0.500 0.500 0.000 1
Sb1 Sb 0.500 0.500 0.500 1
Te1 Te 0.000 0.000 0.500 1
Te2 Te 0.000 0.500 0.000 1
Te3 Te 0.500 0.000 0.000 1
```

# 4
# CaSbTe2

CaSbTe2 after structural relaxation (GGA-PBE, Alexandria).

The electronic total energy comes out at -15.41 eV for the cell shown. As for the volume: 30.92 Å³/atom. Its formation energy (no corrections) is -751 meV per atom.

CIF file:
```
data_CaSbTe2
_cell_length_a 4.866
_cell_length_b 6.380
_cell_length_c 6.380
_cell_angle_alpha 38.65
_cell_angle_beta 90.00
_cell_angle_gamma 90.00
_space_group_name_H-M_alt 'P 1'
_space_group_IT_number 1
_space_group_name_Hall 'P 1'
loop_
_atom_site_label
_atom_site_type_symbol
_atom_site_fract_x
_atom_site_fract_y
_atom_site_fract_z
_atom_site_occupancy
Ca1 Ca 0.000 0.000 0.000 1
Sb1 Sb 0.500 0.216 0.216 1
Te1 Te 0.000 0.717 0.717 1
Te2 Te 0.500 0.454 0.454 1
```

# 5
# Ca2SbTe

Ca2SbTe after structural relaxation (GGA-PBE, Alexandria).

The electronic total energy comes out at -15.92 eV for the cell shown. Its polymorph energy (0 for the lowest one) is 0.000 eV/atom. As for the volume: 32.54 Å³/atom. Its formation energy (no corrections) is -1163 meV per atom.

CIF file:
```
data_Ca2SbTe
_cell_length_a 4.323
_cell_length_b 4.323
_cell_length_c 8.414
_cell_angle_alpha 104.93
_cell_angle_beta 104.93
_cell_angle_gamma 60.14
_space_group_name_H-M_alt 'P 1'
_space_group_IT_number 1
_space_group_name_Hall 'P 1'
loop_
_atom_site_label
_atom_site_type_symbol
_atom_site_fract_x
_atom_site_fract_y
_atom_site_fract_z
_atom_site_occupancy
Ca1 Ca 0.246 0.246 0.238 1
Ca2 Ca 0.754 0.754 0.762 1
Sb1 Sb 0.000 0.000 0.500 1
Te1 Te 0.500 0.500 0.000 1
```

# 6
# Ca2SbTe

Ca2SbTe after structural relaxation (GGA-PBE, Alexandria).

The electronic total energy comes out at -15.49 eV for the cell shown. Its polymorph energy (0 for the lowest one) is 0.108 eV/atom. As for the volume: 29.71 Å³/atom. Its formation energy (no corrections) is -1055 meV per atom.

CIF file:
```
data_Ca2SbTe
_cell_length_a 3.819
_cell_length_b 3.833
_cell_length_c 8.119
_cell_angle_alpha 90.00
_cell_angle_beta 90.00
_cell_angle_gamma 90.00
_space_group_name_H-M_alt 'P 1'
_space_group_IT_number 1
_space_group_name_Hall 'P 1'
loop_
_atom_site_label
_atom_site_type_symbol
_atom_site_fract_x
_atom_site_fract_y
_atom_site_fract_z
_atom_site_occupancy
Ca1 Ca 0.000 0.000 0.240 1
Ca2 Ca 0.000 0.000 0.760 1
Sb1 Sb 0.500 0.500 0.500 1
Te1 Te 0.500 0.500 0.000 1
```

> Look up the electronic total energy of the second one.

-10.67 eV for the cell shown

> electronic total energy of number 3 (Ca4SbTe3)?

-32.54 eV for the cell shown

> Look up the volume of the first one.

33.54 Å³/atom

> Look up the formation energy (no corrections) of the first one.

-1096 meV per atom